This record from OQMD via LeMat-Bulk describes crystalline NdDyPd at its relaxed geometry. The functional is GGA-PBE.

Calculated values
Energy relative to the elements (eV/atom): -0.420
Mass density (g/cm3): 8.0
Space-group type: No. 216
Total energy (eV per atom): -5.266
Energy above the most stable polymorph in this dataset (eV per atom): 0.0000

Cell: 4.9468 4.9468 4.9468 Å, 60.00 60.00 60.00°
Fractional positions:
1 Nd 0.0000 0.0000 0.0000
2 Dy 0.5000 0.5000 0.5000
3 Pd 0.7500 0.7500 0.7500

=====

This record from OQMD via LeMat-Bulk describes crystalline PrNd2Dy3Te2Pd at its relaxed geometry. The functional is GGA-PBE.

Calculated values
Mass density (g/cm3): 8.3
Space-group type: No. 38
Total energy (eV per atom): -5.254

Cell: 4.0559 8.5456 8.5456 Å, 120.12 90.00 90.00°
Fractional positions:
1 Pr 0.0000 0.0000 0.0000
2 Nd 0.0000 0.4068 0.8129
3 Nd 0.0000 0.8129 0.4068
4 Dy 0.5000 0.1637 0.4071
5 Dy 0.5000 0.4071 0.1637
6 Dy 0.5000 0.6499 0.6499
7 Te 0.5000 0.0739 0.7391
8 Te 0.5000 0.7391 0.0739
9 Pd 0.0000 0.4076 0.4076

=====

- What is the formula in the second record?
  PrNd2Dy3Te2Pd

=====

- Look up the mass density of the second one.
  8.3 g/cm3

=====

- What is the formula in the first record?
  NdDyPd